Entry from the Alexandria database: an optimized crystal structure of HgC2 (PBE).

a b c (Å): 3.8549 3.8549 3.8549
angles (deg): 60.00 60.00 60.00
Positions (direct):
C 0.2500 0.2500 0.2500
C 0.7500 0.7500 0.7500
Hg 0.0000 0.0000 0.0000

calculated formation energy = 3.167 eV per atom
D(E_F) = 0.341 states/eV per atom
total energy = -3.08 eV/atom